A relaxed Dy3Mg3InAu2 crystal, computed with PBE-GGA.

V	213	Å³/f.u.
E_tot	-32.6	eV/cell

a = 7.5388 Å, b = 7.5388 Å, c = 4.3238 Å
α = 90.00°, β = 90.00°, γ = 120.00°
Space group P-62m (No. 189)
Asymmetric unit:
1 Dy 0.0000 0.5760 0.0000 x3
2 Mg 0.0000 0.2528 0.5000 x3
3 In 0.0000 0.0000 0.0000 x1
4 Au 0.3333 0.6667 0.5000 x2